[1]
A relaxed AgTeC crystal. Source: Alexandria, functional GGA-PBE.

Unit cell a=6.564 b=7.172 c=11.301 alpha=90.00 beta=90.00 gamma=90.00
Space group Fmmm (No. 69)
Asymmetric unit:
Ag  0.250  0.000  0.250
Te  0.000  0.217  0.000
C  0.000  0.000  0.129

Summary:
Raw formation energy in eV per atom: 1.050
Total DFT energy (no corrections) in eV/f.u.: -12.1
Offset from the most stable computed form in eV/f.u.: 1.27

[2]
A relaxed AgTeC crystal. Source: Alexandria, functional GGA-PBE.

Unit cell a=5.854 b=6.280 c=6.356 alpha=117.87 beta=103.27 gamma=101.51
Space group P-1 (No. 2)
Asymmetric unit:
Ag  0.000  0.000  0.000
Ag  0.500  0.000  0.000
Te  0.003  0.355  0.641
C  0.131  0.739  0.739

Summary:
Raw formation energy in eV per atom: 1.022
Total DFT energy (no corrections) in eV/f.u.: -12.2
Offset from the most stable computed form in eV/f.u.: 1.19

[3]
A relaxed AgTeC crystal. Source: Alexandria, functional GGA-PBE.

Unit cell a=4.840 b=4.840 c=8.806 alpha=94.91 beta=94.66 gamma=119.91
Space group P1 (No. 1)
Asymmetric unit:
Ag  0.000  0.000  0.000
Ag  0.198  0.211  0.687
Te  0.675  0.341  0.037
Te  0.857  0.535  0.649
C  0.743  0.423  0.272
C  0.783  0.466  0.414

Summary:
Raw formation energy in eV per atom: 0.625
Total DFT energy (no corrections) in eV/f.u.: -13.3
Offset from the most stable computed form in eV/f.u.: 0.00

[4]
A relaxed AgTe2C crystal. Source: Alexandria, functional GGA-PBE.

Unit cell a=5.943 b=5.943 c=11.402 alpha=90.00 beta=90.00 gamma=90.00
Space group I-42d (No. 122)
Asymmetric unit:
Ag  0.000  0.000  0.000
Te  0.182  0.250  0.625
C  0.000  0.000  0.500

Summary:
Raw formation energy in eV per atom: 0.876
Total DFT energy (no corrections) in eV/f.u.: -14.9

[5]
A relaxed AgTeC crystal. Source: Alexandria, functional GGA-PBE.

Unit cell a=4.555 b=4.838 c=8.147 alpha=73.97 beta=80.73 gamma=62.67
Space group P-1 (No. 2)
Asymmetric unit:
Ag  0.138  0.229  0.426
Te  0.367  0.707  0.273
C  0.077  0.933  0.066

Summary:
Raw formation energy in eV per atom: 0.630
Total DFT energy (no corrections) in eV/f.u.: -13.3
Offset from the most stable computed form in eV/f.u.: 0.01

[6]
A relaxed AgTeC crystal. Source: Alexandria, functional GGA-PBE.

Unit cell a=4.821 b=5.629 c=6.413 alpha=65.70 beta=68.80 gamma=67.23
Space group P1 (No. 1)
Asymmetric unit:
Ag  0.000  0.000  0.000
Ag  0.388  0.376  0.777
Te  0.063  0.359  0.330
Te  0.838  0.757  0.686
C  0.028  0.728  0.346
C  0.865  0.138  0.673

Summary:
Raw formation energy in eV per atom: 1.087
Total DFT energy (no corrections) in eV/f.u.: -12.0
Offset from the most stable computed form in eV/f.u.: 1.38

[7]
A relaxed AgTeC2 crystal. Source: Alexandria, functional GGA-PBE.

Unit cell a=5.178 b=5.178 c=9.768 alpha=90.00 beta=90.00 gamma=90.00
Space group I-42d (No. 122)
Asymmetric unit:
Ag  0.000  0.000  0.000
Te  0.000  0.000  0.500
C  0.237  0.250  0.625

Summary:
Raw formation energy in eV per atom: 1.756
Total DFT energy (no corrections) in eV/f.u.: -17.4

[8]
A relaxed AgTe3C crystal. Source: Alexandria, functional GGA-PBE.

Unit cell a=5.422 b=5.422 c=5.422 alpha=90.00 beta=90.00 gamma=90.00
Space group Pm-3m (No. 221)
Asymmetric unit:
Ag  0.000  0.000  0.000
Te  0.000  0.000  0.500
C  0.500  0.500  0.500

Summary:
Raw formation energy in eV per atom: 1.905
Total DFT energy (no corrections) in eV/f.u.: -12.0
Offset from the most stable computed form in eV/f.u.: 4.42

[9]
A relaxed AgTeC crystal. Source: Alexandria, functional GGA-PBE.

Unit cell a=4.034 b=5.465 c=6.520 alpha=114.30 beta=107.58 gamma=90.79
Space group P1 (No. 1)
Asymmetric unit:
Ag  0.000  0.000  0.000
Ag  0.314  0.812  0.628
Te  0.562  0.538  0.119
Te  0.758  0.232  0.509
C  0.575  0.163  0.148
C  0.743  0.828  0.480

Summary:
Raw formation energy in eV per atom: 1.058
Total DFT energy (no corrections) in eV/f.u.: -12.0
Offset from the most stable computed form in eV/f.u.: 1.30

[10]
A relaxed AgTe3C crystal. Source: Alexandria, functional GGA-PBE.

Unit cell a=4.829 b=4.829 c=4.829 alpha=90.00 beta=90.00 gamma=90.00
Space group Pm-3m (No. 221)
Asymmetric unit:
Ag  0.000  0.000  0.000
Te  0.000  0.500  0.500
C  0.500  0.500  0.500

Summary:
Raw formation energy in eV per atom: 1.021
Total DFT energy (no corrections) in eV/f.u.: -16.4
Offset from the most stable computed form in eV/f.u.: 0.00

[11]
A relaxed AgTeC crystal. Source: Alexandria, functional GGA-PBE.

Unit cell a=4.519 b=4.723 c=7.043 alpha=88.05 beta=75.00 gamma=67.78
Space group P1 (No. 1)
Asymmetric unit:
Ag  0.000  0.000  0.000
Ag  0.000  0.497  0.500
Te  0.413  0.721  0.231
Te  0.587  0.273  0.768
C  0.386  0.045  0.450
C  0.615  0.948  0.549

Summary:
Raw formation energy in eV per atom: 0.681
Total DFT energy (no corrections) in eV/f.u.: -13.2
Offset from the most stable computed form in eV/f.u.: 0.17

[12]
A relaxed AgTeC3 crystal. Source: Alexandria, functional GGA-PBE.

Unit cell a=4.227 b=4.227 c=4.227 alpha=90.00 beta=90.00 gamma=90.00
Space group Pm-3m (No. 221)
Asymmetric unit:
Ag  0.000  0.000  0.000
Te  0.500  0.500  0.500
C  0.000  0.500  0.500

Summary:
Raw formation energy in eV per atom: 2.990
Total DFT energy (no corrections) in eV/f.u.: -18.7
Offset from the most stable computed form in eV/f.u.: 0.00